# 1
TbCuSb2 (GGA-PBE, relaxed); V = 184.1 Å³ per cell; electronic total energy = -4.777 eV per atom; theoretical density = 8.408 Mg/m³
1.0
-2.4127 -0.2372 -3.5725
-2.4740 -3.0036 1.8702
-5.9197 7.0727 3.5282
Tb Sb Cu
2 4 2
Direct
0.5000 0.5000 0.2497 Tb
0.0000 0.0000 0.7495 Tb
0.5000 0.5000 0.6609 Sb
0.0000 0.5000 0.0003 Sb
0.5000 0.0000 0.0003 Sb
0.0000 0.0000 0.3389 Sb
0.5000 0.0000 0.5002 Cu
0.0000 0.5000 0.5002 Cu

***

# 2
RbBeAsPt (GGA-PBE, relaxed); V = 81.5 Å³ per cell; electronic total energy = -3.015 eV per atom; theoretical density = 7.425 Mg/m³; energy relative to the lowest polymorph listed for this composition = 243 meV per atom
1.0
0.0000 3.4414 3.4414
3.4414 0.0000 3.4414
3.4414 3.4414 0.0000
Rb Be Pt As
1 1 1 1
Direct
0.2500 0.2500 0.2500 Rb
0.7500 0.7500 0.7500 Be
0.0000 0.0000 0.0000 Pt
0.5000 0.5000 0.5000 As

***

# 3
CsRbCuP (GGA-PBE, relaxed); V = 251.1 Å³ per cell; electronic total energy = -3.004 eV per atom; theoretical density = 4.138 Mg/m³; energy relative to the lowest polymorph listed for this composition = 1 meV per atom
1.0
6.2133 0.0000 0.0000
0.0000 3.7931 5.3278
0.0000 -3.7931 5.3278
P Rb Cu Cs
2 2 2 2
Direct
0.7500 0.7882 0.2186 P
0.2500 0.2186 0.7882 P
0.2500 0.4795 0.1834 Rb
0.7500 0.1834 0.4795 Rb
0.0000 0.9973 0.9973 Cu
0.5000 0.9973 0.9973 Cu
0.7500 0.5194 0.8163 Cs
0.2500 0.8163 0.5194 Cs

***

# 4
Sm5Te4Pt (GGA-PBE, relaxed); V = 302.5 Å³ per cell; electronic total energy = -5.566 eV per atom; theoretical density = 7.999 Mg/m³
1.0
-4.9153 4.9153 3.1303
4.9153 -4.9153 3.1303
4.9153 4.9153 -3.1303
Te Sm Pt
4 5 1
Direct
0.5876 0.1913 0.7809 Te
0.8067 0.5876 0.3963 Te
0.4104 0.8067 0.2191 Te
0.1913 0.4104 0.6037 Te
0.2710 0.0955 0.3685 Sm
0.4989 0.4989 0.0000 Sm
0.9025 0.2710 0.1756 Sm
0.0955 0.7269 0.8244 Sm
0.7269 0.9025 0.6314 Sm
0.9988 0.9988 0.0000 Pt

***

# 5
ZnPt2W (GGA-PBE, relaxed); V = 61.1 Å³ per cell; formation energy from the elements = -32 meV/atom; electronic total energy = -6.616 eV per atom; theoretical density = 17.381 Mg/m³
1.0
0.0000 3.1259 3.1259
3.1259 0.0000 3.1259
3.1259 3.1259 0.0000
W Zn Pt
1 1 2
Direct
0.2500 0.2500 0.2500 W
0.5000 0.5000 0.5000 Zn
0.0000 0.0000 0.0000 Pt
0.7500 0.7500 0.7500 Pt

***

# 6
PaNb (GGA-PBE, relaxed); V = 53.5 Å³ per cell; formation energy from the elements = 1698 meV/atom; electronic total energy = -8.097 eV per atom; theoretical density = 10.047 Mg/m³; energy relative to the lowest polymorph listed for this composition = 1412 meV per atom
1.0
-3.1130 -1.1002 2.6450
-3.3619 -2.1169 -1.4540
-0.5540 -4.0628 1.0414
Pa Nb
1 1
Direct
0.2500 0.2500 0.2500 Pa
0.0000 0.0000 0.0000 Nb

***

# 7
SmDyMgIn (GGA-PBE, relaxed); V = 108.7 Å³ per cell; electronic total energy = -3.728 eV per atom; theoretical density = 6.904 Mg/m³
1.0
0.0000 3.7880 3.7880
3.7880 0.0000 3.7880
3.7880 3.7880 0.0000
Mg In Dy Sm
1 1 1 1
Direct
0.2500 0.2500 0.2500 Mg
0.7500 0.7500 0.7500 In
0.0000 0.0000 0.0000 Dy
0.5000 0.5000 0.5000 Sm

***

# 8
LaMoPBr2 (GGA-PBE, relaxed); V = 134.6 Å³ per cell; electronic total energy = -5.928 eV per atom; theoretical density = 5.250 Mg/m³
1.0
3.9488 0.0000 0.0000
-1.9744 3.4198 0.0000
0.0000 0.0000 9.9688
Br Mo P La
2 1 1 1
Direct
0.3333 0.6667 0.3404 Br
0.0000 0.0000 0.6964 Br
0.3333 0.6667 0.8663 Mo
0.6667 0.3333 0.9601 P
0.0000 0.0000 0.1369 La

***

# 9
AlCuI2Br2 (GGA-PBE, relaxed); V = 213.0 Å³ per cell; electronic total energy = -2.988 eV per atom; theoretical density = 3.931 Mg/m³
1.0
4.4201 -5.3889 0.0000
4.4201 5.3889 0.0000
-4.3566 0.0000 4.4706
I Al Cu Br
2 1 1 2
Direct
0.8848 0.6400 0.0246 I
0.3600 0.1152 0.9754 I
0.2569 0.7431 0.5000 Al
0.4967 0.5033 0.0000 Cu
0.5886 0.8371 0.4798 Br
0.1629 0.4114 0.5202 Br

***

# 10
Rb3P2Ir3 (GGA-PBE, relaxed); V = 201.8 Å³ per cell; electronic total energy = -5.119 eV per atom; theoretical density = 7.363 Mg/m³
1.0
5.0924 -5.9810 -0.4473
7.7612 -1.0687 0.7254
4.8971 -3.8147 4.8344
Rb Ir P
3 3 2
Direct
0.9101 0.9101 0.9101 Rb
0.0899 0.0899 0.0899 Rb
0.5000 0.5000 0.5000 Rb
0.5000 0.5000 0.0000 Ir
0.0000 0.5000 0.5000 Ir
0.5000 0.0000 0.5000 Ir
0.2572 0.2572 0.2572 P
0.7428 0.7428 0.7428 P

***

# 11
TmUZn (GGA-PBE, relaxed); V = 78.2 Å³ per cell; formation energy from the elements = 643 meV/atom; electronic total energy = -5.036 eV per atom; theoretical density = 10.028 Mg/m³; energy relative to the lowest polymorph listed for this composition = 0 meV per atom
1.0
-2.0940 -1.1830 4.1545
-4.7789 -0.3732 0.2584
-2.0465 -4.3118 0.5140
U Zn Tm
1 1 1
Direct
0.7500 0.7500 0.7500 U
0.0000 0.0000 0.0000 Zn
0.2500 0.2500 0.2500 Tm

***

# 12
NiBIrW (GGA-PBE, relaxed); V = 47.1 Å³ per cell; electronic total energy = -8.333 eV per atom; theoretical density = 15.703 Mg/m³
1.0
-0.9648 -3.4020 -1.9829
0.4324 -3.5978 1.8179
-3.2747 -2.1248 1.0943
W B Ir Ni
1 1 1 1
Direct
0.2500 0.2500 0.2500 W
0.0000 0.0000 0.0000 B
0.7500 0.7500 0.7500 Ir
0.5000 0.5000 0.5000 Ni